1.
Computed, not measured: a relaxed MnAsPtBr2 crystal at the PBE-GGA level of DFT.

Properties
* offset from the most stable computed form: 0 meV per atom

Cell: 5.228 5.228 4.890 Å, 90.00 90.00 90.00°
Fractional coordinates of all 5 atoms:
Mn 0.000 0.000 0.000
As 0.500 0.500 0.000
Pt 0.500 0.500 0.500
Br 0.000 0.500 0.500
Br 0.500 0.000 0.500



2.
Computed, not measured: a relaxed Al2AsCl2 crystal at the PBE-GGA level of DFT.

Properties
* electronic total energy: -3.03 eV/atom

Cell: 5.580 5.580 5.580 Å, 121.73 121.73 87.02°
Fractional coordinates of all 5 atoms:
Al 0.250 0.750 0.500
Al 0.750 0.250 0.500
As 0.000 0.000 0.000
Cl 0.317 0.317 0.000
Cl 0.683 0.683 0.000



Question: Number 1 is which compound?
Answer: MnAsPtBr2